VASP calculation (meta-GGA SCAN) on a PBEsol-optimized structure of Be2ReBr.

For the total DFT energy (no corrections), the calculation gives -24.0376 eV per atom. The excess energy over the best structure of this formula in the dataset comes out at 0 meV per atom. Its volume is 118.1 Å³/cell.

The structure belongs to space group C2/m (No. 12); the cell edges are 7.9753, 3.1113 and 4.7582 Å and the angles 90.00°, 90.93° and 90.00°. The inequivalent atoms are Be at (0.2062, 0.0000, 0.3778), Re at (0.0000, 0.5000, 0.5000) and Br at (0.0000, 0.0000, 0.0000).